# 1
This record from Alexandria via LeMat-Bulk describes a geometry-optimized LaGdCdGa structure. The functional is PBE.

The structure in CIF format:
```
data_LaGdCdGa
_cell_length_a 5.347
_cell_length_b 5.347
_cell_length_c 5.347
_cell_angle_alpha 60.00
_cell_angle_beta 60.00
_cell_angle_gamma 60.00
_space_group_name_H-M_alt 'P 1'
_space_group_IT_number 1
loop_
_space_group_symop_operation_xyz
'x,y,z'
loop_
_atom_site_label
_atom_site_fract_x
_atom_site_fract_y
_atom_site_fract_z
La1 0.000 0.000 0.000
Gd1 0.500 0.500 0.500
Cd1 0.750 0.750 0.750
Ga1 0.250 0.250 0.250
```

Properties
Energy of formation   -1.79 eV per formula unit
Space-group type   F-43m (216)


# 2
This record from Alexandria via LeMat-Bulk describes a geometry-optimized YPu2Te3 structure. The functional is PBE.

The structure in CIF format:
```
data_YPu2Te3
_cell_length_a 7.636
_cell_length_b 7.636
_cell_length_c 7.636
_cell_angle_alpha 146.44
_cell_angle_beta 131.74
_cell_angle_gamma 60.06
_space_group_name_H-M_alt 'P 1'
_space_group_IT_number 1
loop_
_space_group_symop_operation_xyz
'x,y,z'
loop_
_atom_site_label
_atom_site_fract_x
_atom_site_fract_y
_atom_site_fract_z
Y1 0.000 0.000 0.000
Pu1 0.333 0.333 0.000
Pu2 0.667 0.667 0.000
Te1 0.165 0.665 0.500
Te2 0.500 0.000 0.500
Te3 0.835 0.335 0.500
```

Properties
Energy relative to the elements, uncorrected   -1.181 eV/atom
Space-group type   Immm (71)


# 3
This record from Alexandria via LeMat-Bulk describes a geometry-optimized Ni2AsAu structure. The functional is PBE.

The structure in CIF format:
```
data_Ni2AsAu
_cell_length_a 4.480
_cell_length_b 4.480
_cell_length_c 4.661
_cell_angle_alpha 96.44
_cell_angle_beta 96.44
_cell_angle_gamma 39.08
_space_group_name_H-M_alt 'P 1'
_space_group_IT_number 1
loop_
_space_group_symop_operation_xyz
'x,y,z'
loop_
_atom_site_label
_atom_site_fract_x
_atom_site_fract_y
_atom_site_fract_z
Ni1 0.000 0.000 0.000
Ni2 0.735 0.735 0.239
As1 0.267 0.267 0.868
Au1 0.480 0.480 0.493
```

Properties
Energy of formation   0.08 eV per formula unit
E above lowest polymorph   0.063 eV/atom
Space-group type   Cm (8)


# 4
This record from Alexandria via LeMat-Bulk describes a geometry-optimized AlReSi structure. The functional is PBE.

The structure in CIF format:
```
data_AlReSi
_cell_length_a 4.057
_cell_length_b 4.057
_cell_length_c 4.057
_cell_angle_alpha 60.00
_cell_angle_beta 60.00
_cell_angle_gamma 60.00
_space_group_name_H-M_alt 'P 1'
_space_group_IT_number 1
loop_
_space_group_symop_operation_xyz
'x,y,z'
loop_
_atom_site_label
_atom_site_fract_x
_atom_site_fract_y
_atom_site_fract_z
Al1 0.000 0.000 0.000
Re1 0.500 0.500 0.500
Si1 0.250 0.250 0.250
```

Properties
Energy relative to the elements, uncorrected   0.099 eV/atom
Space-group type   F-43m (216)


# 5
This record from Alexandria via LeMat-Bulk describes a geometry-optimized ZrVB3 structure. The functional is PBE.

The structure in CIF format:
```
data_ZrVB3
_cell_length_a 4.247
_cell_length_b 4.247
_cell_length_c 4.247
_cell_angle_alpha 90.00
_cell_angle_beta 90.00
_cell_angle_gamma 90.00
_space_group_name_H-M_alt 'P 1'
_space_group_IT_number 1
loop_
_space_group_symop_operation_xyz
'x,y,z'
loop_
_atom_site_label
_atom_site_fract_x
_atom_site_fract_y
_atom_site_fract_z
Zr1 0.000 0.000 0.000
V1 0.500 0.500 0.500
B1 0.000 0.000 0.500
B2 0.000 0.500 0.000
B3 0.500 0.000 0.000
```

Properties
Energy of formation   8.51 eV per formula unit
E above lowest polymorph   2.527 eV/atom
Space-group type   Pm-3m (221)


# 6
This record from Alexandria via LeMat-Bulk describes a geometry-optimized GdHgBiSb structure. The functional is PBE.

The structure in CIF format:
```
data_GdHgBiSb
_cell_length_a 5.425
_cell_length_b 5.425
_cell_length_c 5.425
_cell_angle_alpha 60.00
_cell_angle_beta 60.00
_cell_angle_gamma 60.00
_space_group_name_H-M_alt 'P 1'
_space_group_IT_number 1
loop_
_space_group_symop_operation_xyz
'x,y,z'
loop_
_atom_site_label
_atom_site_fract_x
_atom_site_fract_y
_atom_site_fract_z
Gd1 0.000 0.000 0.000
Hg1 0.250 0.250 0.250
Bi1 0.500 0.500 0.500
Sb1 0.750 0.750 0.750
```

Properties
Energy relative to the elements, uncorrected   -0.325 eV/atom
Space-group type   F-43m (216)


# 7
This record from Alexandria via LeMat-Bulk describes a geometry-optimized KBe2Os structure. The functional is PBE.

The structure in CIF format:
```
data_KBe2Os
_cell_length_a 2.725
_cell_length_b 2.725
_cell_length_c 9.157
_cell_angle_alpha 90.00
_cell_angle_beta 90.00
_cell_angle_gamma 109.21
_space_group_name_H-M_alt 'P 1'
_space_group_IT_number 1
loop_
_space_group_symop_operation_xyz
'x,y,z'
loop_
_atom_site_label
_atom_site_fract_x
_atom_site_fract_y
_atom_site_fract_z
K1 0.000 0.000 0.000
Be1 0.500 0.500 0.315
Be2 0.500 0.500 0.685
Os1 0.000 0.000 0.500
```

Properties
Energy of formation   3.23 eV per formula unit
E above lowest polymorph   0.492 eV/atom
Space-group type   Cmmm (65)


# 8
This record from Alexandria via LeMat-Bulk describes a geometry-optimized USbTe2 structure. The functional is PBE.

The structure in CIF format:
```
data_USbTe2
_cell_length_a 14.243
_cell_length_b 14.243
_cell_length_c 14.243
_cell_angle_alpha 12.76
_cell_angle_beta 12.76
_cell_angle_gamma 12.76
_space_group_name_H-M_alt 'P 1'
_space_group_IT_number 1
loop_
_space_group_symop_operation_xyz
'x,y,z'
loop_
_atom_site_label
_atom_site_fract_x
_atom_site_fract_y
_atom_site_fract_z
U1 0.000 0.000 0.000
Sb1 0.500 0.500 0.500
Te1 0.074 0.074 0.074
Te2 0.926 0.926 0.926
```

Properties
Energy relative to the elements, uncorrected   0.404 eV/atom
Space-group type   R-3m (166)


# 9
This record from Alexandria via LeMat-Bulk describes a geometry-optimized MnAl3S structure. The functional is PBE.

The structure in CIF format:
```
data_MnAl3S
_cell_length_a 4.696
_cell_length_b 4.696
_cell_length_c 4.696
_cell_angle_alpha 90.00
_cell_angle_beta 90.00
_cell_angle_gamma 90.00
_space_group_name_H-M_alt 'P 1'
_space_group_IT_number 1
loop_
_space_group_symop_operation_xyz
'x,y,z'
loop_
_atom_site_label
_atom_site_fract_x
_atom_site_fract_y
_atom_site_fract_z
Mn1 0.000 0.000 0.000
Al1 0.000 0.000 0.500
Al2 0.000 0.500 0.000
Al3 0.500 0.000 0.000
S1 0.500 0.500 0.500
```

Properties
Energy relative to the elements, uncorrected   0.484 eV/atom
E above lowest polymorph   0.000 eV/atom
Space-group type   Pm-3m (221)


# 10
This record from Alexandria via LeMat-Bulk describes a geometry-optimized BaMn3Te structure. The functional is PBE.

The structure in CIF format:
```
data_BaMn3Te
_cell_length_a 5.326
_cell_length_b 5.326
_cell_length_c 5.326
_cell_angle_alpha 90.00
_cell_angle_beta 90.00
_cell_angle_gamma 90.00
_space_group_name_H-M_alt 'P 1'
_space_group_IT_number 1
loop_
_space_group_symop_operation_xyz
'x,y,z'
loop_
_atom_site_label
_atom_site_fract_x
_atom_site_fract_y
_atom_site_fract_z
Ba1 0.000 0.000 0.000
Mn1 0.000 0.000 0.500
Mn2 0.000 0.500 0.000
Mn3 0.500 0.000 0.000
Te1 0.500 0.500 0.500
```

Properties
Energy relative to the elements, uncorrected   1.814 eV/atom
E above lowest polymorph   1.153 eV/atom
Space-group type   Pm-3m (221)


# 11
This record from Alexandria via LeMat-Bulk describes a geometry-optimized Tl3TeSe2 structure. The functional is PBE.

The structure in CIF format:
```
data_Tl3TeSe2
_cell_length_a 8.763
_cell_length_b 8.763
_cell_length_c 8.763
_cell_angle_alpha 128.71
_cell_angle_beta 77.80
_cell_angle_gamma 125.87
_space_group_name_H-M_alt 'P 1'
_space_group_IT_number 1
loop_
_space_group_symop_operation_xyz
'x,y,z'
loop_
_atom_site_label
_atom_site_fract_x
_atom_site_fract_y
_atom_site_fract_z
Tl1 0.042 0.750 0.292
Tl2 0.250 0.250 0.000
Tl3 0.458 0.750 0.708
Tl4 0.542 0.250 0.292
Tl5 0.750 0.750 0.000
Tl6 0.958 0.250 0.708
Te1 0.000 0.500 0.500
Te2 0.500 0.000 0.500
Se1 0.130 0.201 0.331
Se2 0.370 0.701 0.071
Se3 0.630 0.299 0.929
Se4 0.870 0.799 0.669
```

Properties
Energy relative to the elements, uncorrected   -0.223 eV/atom
E above lowest polymorph   0.012 eV/atom
Space-group type   Ibam (72)


# 12
This record from Alexandria via LeMat-Bulk describes a geometry-optimized Cs4Cu3Cl12 structure. The functional is PBE.

The structure in CIF format:
```
data_Cs4Cu3Cl12
_cell_length_a 10.147
_cell_length_b 10.147
_cell_length_c 10.147
_cell_angle_alpha 109.47
_cell_angle_beta 109.47
_cell_angle_gamma 109.47
_space_group_name_H-M_alt 'P 1'
_space_group_IT_number 1
loop_
_space_group_symop_operation_xyz
'x,y,z'
loop_
_atom_site_label
_atom_site_fract_x
_atom_site_fract_y
_atom_site_fract_z
Cs1 0.000 0.000 0.500
Cs2 0.000 0.500 0.000
Cs3 0.500 0.000 0.000
Cs4 0.500 0.500 0.500
Cu1 0.000 0.500 0.500
Cu2 0.500 0.000 0.500
Cu3 0.500 0.500 0.000
Cl1 0.133 0.500 0.366
Cl2 0.133 0.767 0.634
Cl3 0.233 0.366 0.867
Cl4 0.366 0.133 0.500
Cl5 0.366 0.867 0.233
Cl6 0.500 0.366 0.133
Cl7 0.500 0.634 0.867
Cl8 0.634 0.133 0.767
Cl9 0.634 0.867 0.500
Cl10 0.767 0.634 0.133
Cl11 0.867 0.233 0.366
Cl12 0.867 0.500 0.634
```

Properties
Energy relative to the elements, uncorrected   -1.077 eV/atom
Space-group type   Im-3 (204)